Density functional theory data (GGA-PBE) for a relaxed structure of CdP2Os.

Unit cell a=4.421 b=4.421 c=4.421 alpha=60.00 beta=60.00 gamma=60.00
Element x y z (fractional)
1 Cd 0.000 0.000 0.000
2 P 0.250 0.250 0.250
3 P 0.750 0.750 0.750
4 Os 0.500 0.500 0.500

Properties
Calculated total energy (eV/atom): -5.24
Energy of formation from the pure elements (kcal/mol of atoms): 11.67
SG: Fm-3m, No. 225
Magnetic moment (μB per cell): 0.000
ΔE to the lowest computed polymorph (eV per atom): 0.506

=====

Density functional theory data (GGA-PBE) for a relaxed structure of LiSm2ErS5.

Unit cell a=8.408 b=8.408 c=11.828 alpha=90.00 beta=90.00 gamma=152.91
Element x y z (fractional)
1 Li 0.014 0.986 0.500
2 Li 0.986 0.014 0.000
3 Sm 0.375 0.625 0.315
4 Sm 0.392 0.608 0.704
5 Sm 0.608 0.392 0.204
6 Sm 0.625 0.375 0.815
7 Er 0.303 0.697 0.021
8 Er 0.697 0.303 0.521
9 S 0.000 0.000 0.302
10 S 0.000 0.000 0.802
11 S 0.137 0.863 0.018
12 S 0.192 0.808 0.363
13 S 0.214 0.786 0.679
14 S 0.453 0.547 0.090
15 S 0.547 0.453 0.590
16 S 0.786 0.214 0.179
17 S 0.808 0.192 0.863
18 S 0.863 0.137 0.518

Properties
Calculated total energy (eV/atom): -5.97
SG: Cmc2_1, No. 36
Magnetic moment (μB per cell): 0.000

=====

Density functional theory data (GGA-PBE) for a relaxed structure of CeDyP2Rh2.

Unit cell a=4.094 b=4.094 c=7.755 alpha=90.00 beta=90.00 gamma=120.00
Element x y z (fractional)
1 Ce 0.000 0.000 0.000
2 Dy 0.000 0.000 0.500
3 P 0.333 0.667 0.265
4 P 0.667 0.333 0.735
5 Rh 0.333 0.667 0.759
6 Rh 0.667 0.333 0.241

Properties
Calculated total energy (eV/atom): -7.26
Energy of formation from the pure elements (kcal/mol of atoms): -28.91
SG: P-3m1, No. 164
Magnetic moment (μB per cell): 0.000